# Sc2MoW GGA-PBE relaxed
data_Sc2MoW
_cell_length_a 5.642
_cell_length_b 9.422
_cell_length_c 2.840
_cell_angle_alpha 90.00
_cell_angle_beta 105.38
_cell_angle_gamma 90.00
_space_group_name_H-M_alt 'C 1 2/m 1'
_space_group_IT_number 12
_space_group_name_Hall '-C 2y'
loop_
_atom_site_label
_atom_site_type_symbol
_atom_site_fract_x
_atom_site_fract_y
_atom_site_fract_z
Sc1 Sc 0.250 0.250 0.000
Mo1 Mo 0.000 0.000 0.500
W1 W 0.000 0.500 0.500
# energy above the lowest structure with this stoichiometry	225	meV per atom
# DFT formation energy	0.255	eV per atom